This record from Alexandria describes an optimized crystal structure of NdPd6Au2. The functional is GGA-PBE.

Cell lengths 8.929, 8.929, 8.929 Å; angles 90.00, 90.00, 90.00 degrees
Space group Fm-3m (No. 225)
Asymmetric unit:
Nd1 0.000 0.000 0.000 x4
Pd1 0.000 0.000 0.287 x24
Au1 0.250 0.250 0.250 x8

Results
Formation energy in meV/atom: 170
Total energy in eV per atom: -4.550
Density in g/cm³: 11.0
Total moment in μB per atom: 0.000
Energy above the most stable polymorph in this dataset in meV/atom: 289